Record 1
Below is a geometry-optimized TbTe5 structure, with properties calculated at the PBE-GGA level.

Cell lengths 4.5488, 4.0640, 10.7184 Å; angles 100.93, 90.00, 90.00 degrees
With the nearest neighbours (Å) after each atom.
Fractional positions:
1 Tb 0.0000 0.0000 0.0000  4 Te 3.05
2 Te 0.5000 0.8326 0.6652  4 Te 3.09
3 Te 0.5000 0.5000 0.0000  4 Tb 3.05
4 Te 0.0000 0.3573 0.7147  4 Te 3.09
5 Te 0.0000 0.6427 0.2853  4 Te 3.09
6 Te 0.5000 0.1674 0.3348  4 Te 3.09

Output
**Formation energy without anion corrections**: -0.37 eV/atom
**Crystal system**: orthorhombic
**Space-group type**: Cmmm

---

Record 2
Below is a geometry-optimized ZnCu2Br structure, with properties calculated at the PBE-GGA level.

Cell lengths 6.7073, 6.7073, 5.7968 Å; angles 54.65, 54.65, 90.00 degrees
With the nearest neighbours (Å) after each atom.
Fractional positions:
1 Cu 0.8750 0.8663 0.7500  2 Zn 2.47, 2 Br 2.55
2 Cu 0.6163 0.1250 0.2500  2 Zn 2.47, 2 Br 2.55
3 Cu 0.3750 0.3837 0.7500  2 Zn 2.47, 2 Br 2.55
4 Cu 0.1337 0.6250 0.2500  2 Zn 2.47, 2 Br 2.55
5 Br 0.7500 0.2500 0.5000  4 Cu 2.55
6 Br 0.0000 0.0000 0.0000  4 Cu 2.55
7 Zn 0.5000 0.5000 0.0000  4 Cu 2.47
8 Zn 0.2500 0.7500 0.5000  4 Cu 2.47

Output
**Formation energy without anion corrections**: 0.33 eV/atom
**Energy above the most stable polymorph in this dataset**: 0.285 eV/atom
**Crystal system**: tetragonal
**Space-group type**: I-42d

---

Record 3
Below is a geometry-optimized Mo2Os5 structure, with properties calculated at the PBE-GGA level.

Cell lengths 4.8082, 6.5304, 7.0799 Å; angles 94.34, 90.00, 111.60 degrees
With the nearest neighbours (Å) after each atom.
Fractional positions:
1 Mo 0.2618 0.8545 0.3939  10 Os 2.68-2.79, 2 Mo 2.73-2.80
2 Mo 0.7382 0.1455 0.6061  10 Os 2.68-2.79, 2 Mo 2.73-2.80
3 Mo 0.4073 0.1455 0.1061  10 Os 2.68-2.79, 2 Mo 2.73-2.80
4 Mo 0.5927 0.8545 0.8939  10 Os 2.68-2.79, 2 Mo 2.73-2.80
5 Os 0.9797 0.2930 0.9668  8 Os 2.64-2.79, 4 Mo 2.76-2.79
6 Os 0.8773 0.4229 0.3169  9 Os 2.66-2.80, 3 Mo 2.68-2.76
7 Os 0.4545 0.5771 0.1831  9 Os 2.66-2.80, 3 Mo 2.68-2.76
8 Os 0.8323 0.0000 0.2500  6 Os 2.69-2.79, 6 Mo 2.72-2.79
9 Os 0.5455 0.4229 0.8169  9 Os 2.66-2.80, 3 Mo 2.68-2.76
10 Os 0.1677 0.0000 0.7500  6 Os 2.69-2.79, 6 Mo 2.72-2.79
11 Os 0.1227 0.5771 0.6831  9 Os 2.66-2.80, 3 Mo 2.68-2.76
12 Os 0.3133 0.2930 0.4668  8 Os 2.64-2.79, 4 Mo 2.76-2.79
13 Os 0.6867 0.7070 0.5332  8 Os 2.64-2.79, 4 Mo 2.76-2.79
14 Os 0.0203 0.7070 0.0332  8 Os 2.64-2.79, 4 Mo 2.76-2.79

Output
**Energy relative to the elements**: -0.3 eV per formula unit
**Crystal system**: monoclinic
**Space-group type**: C2/c

---

Record 4
Below is a geometry-optimized TaZnBr2 structure, with properties calculated at the PBE-GGA level.

Cell lengths 10.5733, 10.5733, 10.5733 Å; angles 17.75, 17.75, 17.75 degrees
With the nearest neighbours (Å) after each atom.
Fractional positions:
1 Zn 0.2500 0.2500 0.2500  6 Zn 3.26
2 Br 0.4781 0.4781 0.4781  3 Ta 2.69
3 Br 0.0219 0.0219 0.0219  3 Ta 2.69
4 Ta 0.7500 0.7500 0.7500  6 Br 2.69

Output
**Formation energy without anion corrections**: -0.09 eV/atom
**Energy above the most stable polymorph in this dataset**: 0.083 eV/atom
**Crystal system**: trigonal
**Space-group type**: R-3m

---

Record 5
Below is a geometry-optimized Ce5P4H structure, with properties calculated at the PBE-GGA level.

Cell lengths 5.7292, 6.9991, 6.9991 Å; angles 80.36, 65.84, 65.84 degrees
With the nearest neighbours (Å) after each atom.
Fractional positions:
1 Ce 0.5006 0.0000 0.0000  4 P 2.85, 2 H 2.85-2.87
2 Ce 0.3011 0.8008 0.5989  5 P 2.84-2.87, 1 H 2.86
3 Ce 0.9000 0.4011 0.8008  5 P 2.84-2.87, 1 H 2.86
4 Ce 0.7008 0.1992 0.4011  5 P 2.84-2.87, 1 H 2.86
5 Ce 0.1019 0.5989 0.1992  5 P 2.84-2.87, 1 H 2.86
6 P 0.4029 0.3979 0.7981  6 Ce 2.84-2.87
7 P 0.8008 0.7981 0.6021  6 Ce 2.84-2.87
8 P 0.5989 0.6021 0.2019  6 Ce 2.84-2.87
9 P 0.2010 0.2019 0.3979  6 Ce 2.84-2.87
10 H 0.0024 0.0000 0.0000  6 Ce 2.85-2.87

Output
**Energy above the most stable polymorph in this dataset**: 0.007 eV/atom
**Crystal system**: tetragonal
**Space-group type**: I4

---

Record 6
Below is a geometry-optimized GeSbAu2 structure, with properties calculated at the PBE-GGA level.

Cell lengths 4.2491, 4.4050, 4.4050 Å; angles 90.00, 90.00, 90.00 degrees
With the nearest neighbours (Å) after each atom.
Fractional positions:
1 Sb 0.5000 0.5000 0.5000  8 Au 3.06, 4 Ge 3.11
2 Ge 0.5000 0.0000 0.0000  8 Au 3.06, 4 Sb 3.11
3 Au 0.0000 0.5000 0.0000  4 Sb 3.06, 4 Ge 3.06, 4 Au 3.11
4 Au 0.0000 0.0000 0.5000  4 Sb 3.06, 4 Ge 3.06, 4 Au 3.11

Output
**Formation energy without anion corrections**: 0.13 eV/atom
**Energy above the most stable polymorph in this dataset**: 0.121 eV/atom
**Crystal system**: tetragonal
**Space-group type**: P4/mmm

---

Record 7
Below is a geometry-optimized NaEuGe2 structure, with properties calculated at the PBE-GGA level.

Cell lengths 5.1109, 5.1270, 5.1179 Å; angles 59.86, 60.16, 59.98 degrees
With the nearest neighbours (Å) after each atom.
Fractional positions:
1 Na 0.7500 0.7500 0.7500  8 Ge 3.13-3.14
2 Ge 0.0002 0.9999 0.9999  4 Na 3.13-3.14, 4 Eu 3.13
3 Ge 0.4998 0.5001 0.5001  4 Na 3.13-3.14, 4 Eu 3.13
4 Eu 0.2500 0.2500 0.2500  8 Ge 3.13

Output
**Energy relative to the elements**: -1.0 eV per formula unit
**Crystal system**: orthorhombic
**Space-group type**: Fmmm

---

Record 8
Below is a geometry-optimized Zn2TcAs structure, with properties calculated at the PBE-GGA level.

Cell lengths 4.9985, 2.8282, 4.4212 Å; angles 95.51, 90.00, 90.00 degrees
With the nearest neighbours (Å) after each atom.
Fractional positions:
1 Zn 0.0000 0.0153 0.9938  3 Zn 2.51-2.64, 2 Tc 2.80, 2 As 2.80
2 Zn 0.0000 0.4847 0.5062  3 Zn 2.51-2.64, 2 Tc 2.80, 2 As 2.80
3 Tc 0.5000 0.7500 0.7500  4 As 2.51-2.74, 4 Zn 2.80
4 As 0.5000 0.2500 0.2500  4 Tc 2.51-2.74, 4 Zn 2.80

Output
**Energy relative to the elements**: 0.8 eV per formula unit
**Crystal system**: monoclinic
**Space-group type**: P2/m

---

Record 9
Below is a geometry-optimized Pm2SmPa structure, with properties calculated at the PBE-GGA level.

Cell lengths 5.0022, 5.0060, 5.0060 Å; angles 90.00, 90.00, 90.00 degrees
With the nearest neighbours (Å) after each atom.
Fractional positions:
1 Pm 0.0000 0.5000 0.0000  4 Pa 3.54, 4 Sm 3.54, 4 Pm 3.54
2 Pm 0.0000 0.0000 0.5000  4 Pa 3.54, 4 Sm 3.54, 4 Pm 3.54
3 Pa 0.5000 0.5000 0.5000  8 Pm 3.54, 4 Sm 3.54
4 Sm 0.5000 0.0000 0.0000  8 Pm 3.54, 4 Pa 3.54

Output
**Energy relative to the elements**: 1.1 eV per formula unit
**Energy above the most stable polymorph in this dataset**: 0.112 eV/atom
**Crystal system**: tetragonal
**Space-group type**: P4/mmm

---

Record 10
Below is a geometry-optimized CsKSr2V structure, with properties calculated at the PBE-GGA level.

Cell lengths 6.4502, 7.2325, 6.4502 Å; angles 90.00, 90.00, 90.00 degrees
With the nearest neighbours (Å) after each atom.
Fractional positions:
1 Cs 0.5000 0.5000 0.5000  4 K 4.56, 8 Sr 4.85
2 Sr 0.5000 0.0000 0.0000  2 V 3.23
3 Sr 0.0000 0.0000 0.5000  2 V 3.23
4 V 0.0000 0.0000 0.0000  4 Sr 3.23
5 K 0.0000 0.5000 0.0000  2 V 3.62

Output
**Energy relative to the elements**: 3.1 eV per formula unit
**Crystal system**: tetragonal
**Space-group type**: P4/mmm

---

Number 1: calculated volume 32.426 Å³ per atom. Number 2: calculated volume 18.743 Å³ per atom. Number 3: calculated volume 14.715 Å³ per atom. Number 4: calculated volume 23.977 Å³ per atom. Number 5: calculated volume 23.364 Å³ per atom. Number 6: calculated volume 20.612 Å³ per atom. Number 7: calculated volume 23.707 Å³ per atom. Number 8: calculated volume 15.554 Å³ per atom. Number 9: calculated volume 31.339 Å³ per atom. Number 10: calculated volume 60.182 Å³ per atom.